one) This record from Alexandria via LeMat-Bulk describes an optimized crystal structure of HPtI2O. The functional is PBE.

For the density of states at the Fermi level, the calculation gives 6.95 states/eV/cell.

a b c (Å): 7.098 7.098 3.556
angles (deg): 90.00 90.00 90.00
Atoms (fractional coordinates):
H (0.000, 0.000, 0.000)
Pt (0.500, 0.500, 0.000)
I (0.000, 0.500, 0.500)
I (0.500, 0.000, 0.500)
O (0.500, 0.500, 0.500)


two) This record from Alexandria via LeMat-Bulk describes an optimized crystal structure of HPtI2O. The functional is PBE.

For the density of states at the Fermi level, the calculation gives 5.49 states/eV/cell.

a b c (Å): 5.830 5.830 3.730
angles (deg): 90.00 90.00 90.00
Atoms (fractional coordinates):
H (0.000, 0.000, 0.000)
Pt (0.500, 0.500, 0.500)
I (0.000, 0.500, 0.500)
I (0.500, 0.000, 0.500)
O (0.500, 0.500, 0.000)


Most stable structure: two)


one) This record from Alexandria via LeMat-Bulk describes an optimized crystal structure of RbHI2O. The functional is PBE.

For the density of states at the Fermi level, the calculation gives 9.76 states/eV/cell.

a b c (Å): 7.243 7.243 5.754
angles (deg): 90.00 90.00 90.00
Atoms (fractional coordinates):
Rb (0.000, 0.000, 0.000)
H (0.500, 0.500, 0.500)
I (0.000, 0.500, 0.000)
I (0.500, 0.000, 0.000)
O (0.000, 0.000, 0.500)


two) This record from Alexandria via LeMat-Bulk describes an optimized crystal structure of RbHI2O. The functional is PBE.

For the density of states at the Fermi level, the calculation gives 19.30 states/eV/cell.

a b c (Å): 4.613 4.613 7.099
angles (deg): 90.00 90.00 90.00
Atoms (fractional coordinates):
Rb (0.000, 0.000, 0.000)
H (0.500, 0.500, 0.500)
I (0.000, 0.500, 0.500)
I (0.500, 0.000, 0.500)
O (0.500, 0.500, 0.000)


Most stable structure: two)


one) This record from Alexandria via LeMat-Bulk describes an optimized crystal structure of ReH2IO. The functional is PBE.

For the density of states at the Fermi level, the calculation gives 4.64 states/eV/cell.

a b c (Å): 4.120 4.120 3.784
angles (deg): 90.00 90.00 90.00
Atoms (fractional coordinates):
Re (0.000, 0.000, 0.000)
H (0.000, 0.500, 0.500)
H (0.500, 0.000, 0.500)
I (0.500, 0.500, 0.000)
O (0.000, 0.000, 0.500)


two) This record from Alexandria via LeMat-Bulk describes an optimized crystal structure of ReH2IO. The functional is PBE.

For the density of states at the Fermi level, the calculation gives 3.75 states/eV/cell.

a b c (Å): 4.145 4.145 3.760
angles (deg): 90.00 90.00 90.00
Atoms (fractional coordinates):
Re (0.000, 0.000, 0.000)
H (0.000, 0.500, 0.000)
H (0.500, 0.000, 0.000)
I (0.500, 0.500, 0.500)
O (0.000, 0.000, 0.500)


Most stable structure: two)


one) This record from Alexandria via LeMat-Bulk describes an optimized crystal structure of HRhIO2. The functional is PBE.

For the density of states at the Fermi level, the calculation gives 4.15 states/eV/cell.

a b c (Å): 4.067 4.067 3.493
angles (deg): 90.00 90.00 90.00
Atoms (fractional coordinates):
H (0.000, 0.000, 0.000)
Rh (0.500, 0.500, 0.500)
I (0.000, 0.000, 0.500)
O (0.000, 0.500, 0.000)
O (0.500, 0.000, 0.000)


two) This record from Alexandria via LeMat-Bulk describes an optimized crystal structure of HRhIO2. The functional is PBE.

For the density of states at the Fermi level, the calculation gives 4.79 states/eV/cell.

a b c (Å): 3.753 3.753 6.014
angles (deg): 90.00 90.00 90.00
Atoms (fractional coordinates):
H (0.000, 0.000, 0.000)
Rh (0.500, 0.500, 0.500)
I (0.500, 0.500, 0.000)
O (0.000, 0.500, 0.500)
O (0.500, 0.000, 0.500)


Most stable structure: two)


one) This record from Alexandria via LeMat-Bulk describes an optimized crystal structure of SbHI2O. The functional is PBE.

For the density of states at the Fermi level, the calculation gives 3.71 states/eV/cell.

a b c (Å): 5.508 5.508 3.878
angles (deg): 90.00 90.00 90.00
Atoms (fractional coordinates):
Sb (0.000, 0.000, 0.000)
H (0.000, 0.000, 0.500)
I (0.000, 0.500, 0.500)
I (0.500, 0.000, 0.500)
O (0.500, 0.500, 0.000)


two) This record from Alexandria via LeMat-Bulk describes an optimized crystal structure of SbHI2O. The functional is PBE.

For the density of states at the Fermi level, the calculation gives 4.29 states/eV/cell.

a b c (Å): 6.114 6.114 4.029
angles (deg): 90.00 90.00 90.00
Atoms (fractional coordinates):
Sb (0.000, 0.000, 0.000)
H (0.500, 0.500, 0.500)
I (0.000, 0.500, 0.000)
I (0.500, 0.000, 0.000)
O (0.000, 0.000, 0.500)


Most stable structure: two)


one) This record from Alexandria via LeMat-Bulk describes an optimized crystal structure of SbHI2O. The functional is PBE.

For the density of states at the Fermi level, the calculation gives 6.19 states/eV/cell.

a b c (Å): 6.279 6.279 2.906
angles (deg): 90.00 90.00 90.00
Atoms (fractional coordinates):
Sb (0.000, 0.000, 0.000)
H (0.500, 0.500, 0.500)
I (0.000, 0.500, 0.500)
I (0.500, 0.000, 0.500)
O (0.500, 0.500, 0.000)


two) This record from Alexandria via LeMat-Bulk describes an optimized crystal structure of SbHI2O. The functional is PBE.

For the density of states at the Fermi level, the calculation gives 1.63 states/eV/cell.

a b c (Å): 5.772 5.772 4.246
angles (deg): 90.00 90.00 90.00
Atoms (fractional coordinates):
Sb (0.000, 0.000, 0.000)
H (0.500, 0.500, 0.000)
I (0.000, 0.500, 0.500)
I (0.500, 0.000, 0.500)
O (0.000, 0.000, 0.500)


Most stable structure: one)


one) This record from Alexandria via LeMat-Bulk describes an optimized crystal structure of ScHI2O. The functional is PBE.

For the density of states at the Fermi level, the calculation gives 4.05 states/eV/cell.

a b c (Å): 5.276 5.276 3.357
angles (deg): 90.00 90.00 90.00
Atoms (fractional coordinates):
Sc (0.000, 0.000, 0.000)
H (0.500, 0.500, 0.500)
I (0.000, 0.500, 0.500)
I (0.500, 0.000, 0.500)
O (0.500, 0.500, 0.000)


two) This record from Alexandria via LeMat-Bulk describes an optimized crystal structure of ScHI2O. The functional is PBE.

For the density of states at the Fermi level, the calculation gives 3.30 states/eV/cell.

a b c (Å): 6.160 6.160 3.805
angles (deg): 90.00 90.00 90.00
Atoms (fractional coordinates):
Sc (0.000, 0.000, 0.000)
H (0.500, 0.500, 0.500)
I (0.000, 0.500, 0.000)
I (0.500, 0.000, 0.000)
O (0.000, 0.000, 0.500)


Most stable structure: two)


one) This record from Alexandria via LeMat-Bulk describes an optimized crystal structure of TcHIO2. The functional is PBE.

For the density of states at the Fermi level, the calculation gives 2.39 states/eV/cell.

a b c (Å): 3.746 3.746 5.836
angles (deg): 90.00 90.00 90.00
Atoms (fractional coordinates):
Tc (0.000, 0.000, 0.000)
H (0.500, 0.500, 0.500)
I (0.000, 0.000, 0.500)
O (0.000, 0.500, 0.000)
O (0.500, 0.000, 0.000)


two) This record from Alexandria via LeMat-Bulk describes an optimized crystal structure of TcHIO2. The functional is PBE.

For the density of states at the Fermi level, the calculation gives 3.53 states/eV/cell.

a b c (Å): 4.141 4.141 3.448
angles (deg): 90.00 90.00 90.00
Atoms (fractional coordinates):
Tc (0.000, 0.000, 0.000)
H (0.500, 0.500, 0.500)
I (0.500, 0.500, 0.000)
O (0.000, 0.500, 0.500)
O (0.500, 0.000, 0.500)


Most stable structure: one)


one) This record from Alexandria via LeMat-Bulk describes an optimized crystal structure of TiHI2O. The functional is PBE.

For the density of states at the Fermi level, the calculation gives 0.41 states/eV/cell.

a b c (Å): 5.640 5.640 3.737
angles (deg): 90.00 90.00 90.00
Atoms (fractional coordinates):
Ti (0.000, 0.000, 0.000)
H (0.500, 0.500, 0.500)
I (0.000, 0.500, 0.000)
I (0.500, 0.000, 0.000)
O (0.000, 0.000, 0.500)


two) This record from Alexandria via LeMat-Bulk describes an optimized crystal structure of TiHI2O. The functional is PBE.

For the density of states at the Fermi level, the calculation gives 5.31 states/eV/cell.

a b c (Å): 5.337 5.337 3.049
angles (deg): 90.00 90.00 90.00
Atoms (fractional coordinates):
Ti (0.000, 0.000, 0.000)
H (0.500, 0.500, 0.500)
I (0.000, 0.500, 0.500)
I (0.500, 0.000, 0.500)
O (0.500, 0.500, 0.000)


Most stable structure: one)


one) This record from Alexandria via LeMat-Bulk describes an optimized crystal structure of TiHIO2. The functional is PBE.

For the density of states at the Fermi level, the calculation gives 1.75 states/eV/cell.

a b c (Å): 3.737 3.737 6.043
angles (deg): 90.00 90.00 90.00
Atoms (fractional coordinates):
Ti (0.000, 0.000, 0.000)
H (0.500, 0.500, 0.500)
I (0.000, 0.000, 0.500)
O (0.000, 0.500, 0.000)
O (0.500, 0.000, 0.000)


two) This record from Alexandria via LeMat-Bulk describes an optimized crystal structure of TiHIO2. The functional is PBE.

For the density of states at the Fermi level, the calculation gives 3.46 states/eV/cell.

a b c (Å): 4.132 4.132 3.441
angles (deg): 90.00 90.00 90.00
Atoms (fractional coordinates):
Ti (0.000, 0.000, 0.000)
H (0.500, 0.500, 0.500)
I (0.500, 0.500, 0.000)
O (0.000, 0.500, 0.500)
O (0.500, 0.000, 0.500)


Most stable structure: one)